Entry from the Alexandria database: a crystal of ErAl2 relaxed with PBEsol (SCAN).

Calculated values
Volume ... 116 Å³/cell
DOS at the Fermi energy ... 0.7538 states/eV per atom
Uncorrected energy ... -22.4862 eV per atom
Symmetry ... Fd-3m

Cell lengths 5.4767, 5.4767, 5.4767 Å; angles 60.00, 60.00, 60.00 degrees
Closest atoms and distances in Å follow each position.
Atoms (fractional coordinates):
Er 0.1250 0.1250 0.1250  12 Al 3.21, 4 Er 3.35
Er 0.8750 0.8750 0.8750  12 Al 3.21, 4 Er 3.35
Al 0.0000 0.5000 0.5000  6 Al 2.74
Al 0.5000 0.0000 0.5000  6 Al 2.74
Al 0.5000 0.5000 0.0000  6 Al 2.74
Al 0.5000 0.5000 0.5000  6 Al 2.74

Entry from the Alexandria database: a crystal of La3CdOs relaxed with PBEsol (SCAN).

Calculated values
Volume ... 166 Å³/cell
DOS at the Fermi energy ... 0.9020 states/eV per atom
Uncorrected energy ... -46.5727 eV per atom
Symmetry ... Pm-3m

Cell lengths 5.4986, 5.4986, 5.4986 Å; angles 90.00, 90.00, 90.00 degrees
Closest atoms and distances in Å follow each position.
Atoms (fractional coordinates):
La 0.0000 0.0000 0.5000  2 Os 2.75
La 0.0000 0.5000 0.0000  2 Os 2.75
La 0.5000 0.0000 0.0000  2 Os 2.75
Cd 0.5000 0.5000 0.5000  12 La 3.89
Os 0.0000 0.0000 0.0000  6 La 2.75

Entry from the Alexandria database: a crystal of Cu3Pt relaxed with PBEsol (SCAN).

Calculated values
Volume ... 50 Å³/cell
DOS at the Fermi energy ... 0.2940 states/eV per atom
Uncorrected energy ... -29.0666 eV per atom
Symmetry ... Pmm2

Cell lengths 2.7311, 4.1986, 4.3267 Å; angles 90.00, 90.00, 90.00 degrees
Closest atoms and distances in Å follow each position.
Atoms (fractional coordinates):
Cu 0.0000 0.0000 0.0000  8 Cu 2.54-2.73, 4 Pt 2.57
Cu 0.0000 0.5000 0.3625  4 Pt 2.56, 8 Cu 2.57-2.73
Cu 0.5000 0.0000 0.4946  10 Cu 2.54-2.73, 2 Pt 2.64
Pt 0.5000 0.5000 0.8627  10 Cu 2.56-2.64, 2 Pt 2.73

Entry from the Alexandria database: a crystal of CaYTe2 relaxed with PBEsol (SCAN).

Calculated values
Volume ... 109 Å³/cell
E_form (uncorrected) ... -1.333 eV per atom
DOS at the Fermi energy ... 0.4458 states/eV per atom
Symmetry ... P4/mmm

Cell lengths 5.3781, 5.3781, 3.7612 Å; angles 90.00, 90.00, 90.00 degrees
Closest atoms and distances in Å follow each position.
Atoms (fractional coordinates):
Ca 0.0000 0.0000 0.0000  8 Te 3.28
Y 0.5000 0.5000 0.0000  8 Te 3.28
Te 0.0000 0.5000 0.5000  4 Ca 3.28, 4 Y 3.28
Te 0.5000 0.0000 0.5000  4 Ca 3.28, 4 Y 3.28

Entry from the Alexandria database: a crystal of CdIn5 relaxed with PBEsol (SCAN).

Calculated values
Volume ... 147 Å³/cell
DOS at the Fermi energy ... 0.4321 states/eV per atom
Uncorrected energy ... -32.8197 eV per atom
Symmetry ... Cmmm

Cell lengths 7.6353, 7.6353, 4.5051 Å; angles 90.00, 90.00, 145.90 degrees
Closest atoms and distances in Å follow each position.
Atoms (fractional coordinates):
Cd 0.0000 0.0000 0.0000  12 In 3.18-3.28
In 0.1631 0.8369 0.5000  10 In 3.18-3.39, 2 Cd 3.28
In 0.3362 0.6638 0.0000  10 In 3.18-3.39, 2 Cd 3.28
In 0.5000 0.5000 0.5000  4 Cd 3.18, 8 In 3.27-3.29
In 0.6638 0.3362 0.0000  10 In 3.18-3.39, 2 Cd 3.28
In 0.8369 0.1631 0.5000  10 In 3.18-3.39, 2 Cd 3.28

Entry from the Alexandria database: a crystal of ReSbMo2 relaxed with PBEsol (SCAN).

Calculated values
Volume ... 65 Å³/cell
E_form (uncorrected) ... 0.282 eV per atom
DOS at the Fermi energy ... 0.7698 states/eV per atom
Symmetry ... P4/mmm

Cell lengths 3.0187, 3.0187, 7.1809 Å; angles 90.00, 90.00, 90.00 degrees
Closest atoms and distances in Å follow each position.
Atoms (fractional coordinates):
Re 0.0000 0.0000 0.0000  8 Mo 2.70, 4 Re 3.02
Sb 0.0000 0.0000 0.5000  8 Mo 2.89, 4 Sb 3.02
Mo 0.5000 0.5000 0.2293  4 Re 2.70, 4 Sb 2.89, 4 Mo 3.02
Mo 0.5000 0.5000 0.7707  4 Re 2.70, 4 Sb 2.89, 4 Mo 3.02

Entry from the Alexandria database: a crystal of CsTlI4 relaxed with PBEsol (SCAN).

Calculated values
Volume ... 1086 Å³/cell
E_form (uncorrected) ... -0.792 eV per atom
Symmetry ... P2_1/c

Cell lengths 7.2488, 18.5132, 8.3852 Å; angles 90.00, 105.24, 90.00 degrees
Closest atoms and distances in Å follow each position.
Atoms (fractional coordinates):
Cs 0.1865 0.1303 0.2916  10 I 3.93-4.34
Cs 0.1865 0.3697 0.7916  10 I 3.93-4.34
Cs 0.8135 0.6303 0.2084  10 I 3.93-4.34
Cs 0.8135 0.8697 0.7084  10 I 3.93-4.34
Tl 0.1910 0.6273 0.7966  4 I 2.79-2.82
Tl 0.1910 0.8727 0.2966  4 I 2.79-2.82
Tl 0.8090 0.1273 0.7034  4 I 2.79-2.82
Tl 0.8090 0.3727 0.2034  4 I 2.79-2.82
I 0.2036 0.1575 0.7988  1 Tl 2.82
I 0.2036 0.3425 0.2988  1 Tl 2.82
I 0.2785 0.5452 0.0889  1 Tl 2.81
I 0.2785 0.9548 0.5889  1 Tl 2.81
I 0.2824 0.5447 0.5501  1 Tl 2.79
I 0.2824 0.9553 0.0501  1 Tl 2.79
I 0.3635 0.7379 0.3690  1 Tl 2.79
I 0.3635 0.7621 0.8690  1 Tl 2.79
I 0.6365 0.2379 0.1310  1 Tl 2.79
I 0.6365 0.2621 0.6310  1 Tl 2.79
I 0.7176 0.0447 0.9499  1 Tl 2.79
I 0.7176 0.4553 0.4499  1 Tl 2.79
I 0.7215 0.0452 0.4111  1 Tl 2.81
I 0.7215 0.4548 0.9111  1 Tl 2.81
I 0.7964 0.6575 0.7012  1 Tl 2.82
I 0.7964 0.8425 0.2012  1 Tl 2.82

Entry from the Alexandria database: a crystal of MgCdGa2 relaxed with PBEsol (SCAN).

Calculated values
Volume ... 78 Å³/cell
DOS at the Fermi energy ... 0.3152 states/eV per atom
Uncorrected energy ... -17.0169 eV per atom
Symmetry ... Fm-3m

Cell lengths 4.7923, 4.7923, 4.7923 Å; angles 60.00, 60.00, 60.00 degrees
Closest atoms and distances in Å follow each position.
Atoms (fractional coordinates):
Mg 0.0000 0.0000 0.0000  8 Ga 2.93
Cd 0.5000 0.5000 0.5000  8 Ga 2.93
Ga 0.2500 0.2500 0.2500  4 Cd 2.93, 4 Mg 2.93
Ga 0.7500 0.7500 0.7500  4 Mg 2.93, 4 Cd 2.93